Li7Tl2Pb after structural relaxation. Source: Alexandria, functional GGA-PBE.

* energy: -2.1993 eV per atom
* magnetization: 0.00 μB per cell
* theoretical density: 4.8 Mg/m³

Lattice parameters (Å, degrees): 4.226 8.675 8.675 133.34 90.00 90.00
Sites, in units of the cell vectors:
Li: 0.500 0.715 0.913
Li: 0.500 0.087 0.285
Li: 0.000 0.817 0.183
Li: 0.500 0.285 0.087
Li: 0.500 0.913 0.715
Li: 0.500 0.500 0.500
Li: 0.000 0.183 0.817
Tl: 0.500 0.299 0.701
Tl: 0.500 0.701 0.299
Pb: 0.000 0.000 0.000

***

Li3BeAg2Pd3 after structural relaxation. Source: Alexandria, functional GGA-PBE.

* energy: -3.7842 eV per atom
* magnetization: 0.00 μB per cell
* theoretical density: 7.1 Mg/m³

Lattice parameters (Å, degrees): 2.852 7.293 7.293 120.00 90.00 90.00
Sites, in units of the cell vectors:
Li: 0.000 0.631 0.631
Li: 0.000 0.000 0.369
Li: 0.000 0.369 0.000
Pd: 0.500 0.245 0.245
Pd: 0.500 0.755 0.000
Pd: 0.500 0.000 0.755
Ag: 0.500 0.333 0.667
Ag: 0.500 0.667 0.333
Be: 0.000 0.000 0.000

***

TcPPtO2 after structural relaxation. Source: Alexandria, functional GGA-PBE.

* raw formation energy: -0.481 eV/atom
* magnetization: 0.00 μB per cell
* theoretical density: 8.0 Mg/m³

Lattice parameters (Å, degrees): 3.671 3.671 5.462 90.00 90.00 90.00
Sites, in units of the cell vectors:
Pt: 0.500 0.500 0.500
O: 0.500 0.000 0.000
O: 0.000 0.500 0.000
Tc: 0.000 0.000 0.000
P: 0.000 0.000 0.500

***

BaCaSi after structural relaxation. Source: Alexandria, functional GGA-PBE.

* raw formation energy: -0.309 eV/atom
* magnetization: 0.00 μB per cell
* theoretical density: 3.0 Mg/m³

Lattice parameters (Å, degrees): 5.409 5.409 5.409 60.00 60.00 60.00
Sites, in units of the cell vectors:
Ba: 0.000 0.000 0.000
Si: 0.750 0.750 0.750
Ca: 0.500 0.500 0.500

***

EuTl2Ag after structural relaxation. Source: Alexandria, functional GGA-PBE.

* energy: -4.6241 eV per atom
* magnetization: 7.23 μB per cell
* theoretical density: 10.4 Mg/m³

Lattice parameters (Å, degrees): 3.726 3.726 7.664 90.00 90.00 90.00
Sites, in units of the cell vectors:
Eu: 0.500 0.500 0.500
Tl: 0.000 0.000 0.786
Tl: 0.000 0.000 0.214
Ag: 0.500 0.500 0.000

***

Ti4ZnGe after structural relaxation. Source: Alexandria, functional GGA-PBE.

* energy: -6.2339 eV per atom
* magnetization: 0.77 μB per cell
* theoretical density: 5.1 Mg/m³

Lattice parameters (Å, degrees): 5.038 5.917 7.685 99.69 109.13 90.00
Sites, in units of the cell vectors:
Zn: 0.000 0.500 0.500
Zn: 0.500 0.000 0.500
Ti: 0.279 0.595 0.292
Ti: 0.013 0.095 0.292
Ti: 0.541 0.064 0.854
Ti: 0.721 0.405 0.708
Ti: 0.987 0.905 0.708
Ti: 0.687 0.436 0.146
Ti: 0.459 0.936 0.146
Ti: 0.313 0.564 0.854
Ge: 0.887 0.750 0.000
Ge: 0.113 0.250 0.000